1.
# La2HoNpAs4 (PBE, relaxed)
data_La2HoNpAs4
_chemical_formula_sum 'La2 Ho1 Np1 As4'
_cell_length_a 7.328
_cell_length_b 4.234
_cell_length_c 7.347
_cell_angle_alpha 90.00
_cell_angle_beta 109.32
_cell_angle_gamma 90.00
_symmetry_space_group_name_H-M 'P 1 2/m 1'
_symmetry_Int_Tables_number 10
_symmetry_space_group_name_Hall '-P 2y'
loop_
_atom_site_label
_atom_site_fract_x
_atom_site_fract_y
_atom_site_fract_z
_atom_site_occupancy
La1 0.000 0.000 0.000 1
La2 0.500 0.500 0.000 1
Ho1 0.000 0.500 0.500 1
Np1 0.500 0.000 0.500 1
As1 0.246 0.000 0.733 1
As2 0.257 0.500 0.267 1
# * formation enthalpy at 0 K: -1016 kJ/mol of formula units
# * magnetization: 3.78 μB per formula unit



2.
# Ba2LaPd2 (PBE, relaxed)
data_Ba2LaPd2
_chemical_formula_sum 'Ba4 La2 Pd4'
_cell_length_a 8.042
_cell_length_b 8.042
_cell_length_c 5.006
_cell_angle_alpha 90.00
_cell_angle_beta 90.00
_cell_angle_gamma 90.00
_symmetry_space_group_name_H-M 'P 4/m b m'
_symmetry_Int_Tables_number 127
_symmetry_space_group_name_Hall '-P 4 2ab'
loop_
_atom_site_label
_atom_site_fract_x
_atom_site_fract_y
_atom_site_fract_z
_atom_site_occupancy
Ba1 0.165 0.335 0.000 1
La1 0.000 0.000 0.500 1
Pd1 0.132 0.632 0.500 1
# * formation enthalpy at 0 K: -208 kJ/mol of formula units
# * excess energy over the best structure of this formula in the dataset: 0 meV/atom
# * magnetization: 0.00 μB per formula unit